The following is a PBE calculation of Zr8Ru after structural relaxation, from Alexandria. Values from VASP.

Quantum ESPRESSO input file:
```
&SYSTEM
  ibrav = 0, nat = 9, ntyp = 2
/
ATOMIC_SPECIES
Zr 91.22 Zr.upf
Ru 101.07 Ru.upf
CELL_PARAMETERS angstrom
5.866 2.342 -2.366
-2.072 -3.069 5.638
-0.722 -5.201 -4.233
ATOMIC_POSITIONS angstrom
Zr 3.557 -1.977 -4.562
Zr 1.587 -0.882 -2.036
Zr -1.932 -5.718 0.971
Zr 2.283 -2.192 0.782
Zr 0.592 -1.253 2.952
Zr -0.862 -2.552 0.434
Zr 3.202 0.526 0.321
Zr 0.789 -3.735 -1.743
Ru 0.000 0.000 0.000
```

Calculated values
Calculated volume (Å³/cell): 197.9
Spin magnetization (μB/cell): 0.00
Energy relative to the elements (eV/atom): 0.018